(1)
Below is a relaxed structure of RbPN, with properties calculated at the PBE-GGA level.

## Properties
Distance to the lowest polymorph of the same formula ... 0.000 eV per atom
Formation energy from raw total energies ... -0.35 eV/atom

Cell and atoms, written as CIF:
```
data_RbPN
_space_group_name_H-M_alt 'P -1'
_space_group_IT_number 2
_cell_length_a 4.761
_cell_length_b 5.425
_cell_length_c 6.424
_cell_angle_alpha 89.96
_cell_angle_beta 68.55
_cell_angle_gamma 89.91
loop_
_space_group_symop_operation_xyz
'x,y,z'
'-x,-y,-z'
loop_
_atom_site_label
_atom_site_fract_x
_atom_site_fract_y
_atom_site_fract_z
Rb1 0.126 0.250 0.246
P1 0.423 0.250 0.656
N1 0.500 0.000 0.500
N2 0.500 0.500 0.500
```

***

(2)
Below is a relaxed structure of MgHg3Te4, with properties calculated at the PBE-GGA level.

## Properties
Distance to the lowest polymorph of the same formula ... 0.006 eV per atom
Formation energy from raw total energies ... -0.33 eV/atom

Cell and atoms, written as CIF:
```
data_MgHg3Te4
_space_group_name_H-M_alt 'P m n 21'
_space_group_IT_number 31
_cell_length_a 9.331
_cell_length_b 8.083
_cell_length_c 7.665
_cell_angle_alpha 90.00
_cell_angle_beta 90.00
_cell_angle_gamma 90.00
loop_
_space_group_symop_operation_xyz
'x,y,z'
'-x+1/2,-y,z+1/2'
'-x,y,z'
'x+1/2,-y,z+1/2'
loop_
_atom_site_label
_atom_site_fract_x
_atom_site_fract_y
_atom_site_fract_z
Mg1 0.000 0.165 0.000
Hg1 0.000 0.835 0.500
Hg2 0.250 0.334 0.499
Te1 0.000 0.168 0.631
Te2 0.000 0.837 0.124
Te3 0.247 0.330 0.123
```

***

(3)
Below is a relaxed structure of GeSeS3, with properties calculated at the PBE-GGA level.

## Properties
Distance to the lowest polymorph of the same formula ... 0.565 eV per atom
Formation energy from raw total energies ... 0.60 eV/atom

Cell and atoms, written as CIF:
```
data_GeSeS3
_space_group_name_H-M_alt 'P m -3 m'
_space_group_IT_number 221
_space_group_name_Hall '-P 4 2 3'
_cell_length_a 4.773
_cell_length_b 4.773
_cell_length_c 4.773
_cell_angle_alpha 90.00
_cell_angle_beta 90.00
_cell_angle_gamma 90.00
loop_
_atom_site_label
_atom_site_fract_x
_atom_site_fract_y
_atom_site_fract_z
Ge1 0.000 0.000 0.000
Se1 0.500 0.500 0.500
S1 0.000 0.500 0.500
```

***

(4)
Below is a relaxed structure of Mg2MnCr, with properties calculated at the PBE-GGA level.

## Properties
Distance to the lowest polymorph of the same formula ... 0.356 eV per atom
Formation energy from the elements ... 0.518 eV/atom

Cell and atoms, written as CIF:
```
data_Mg2MnCr
_space_group_name_H-M_alt 'P 4/m m m'
_space_group_IT_number 123
_space_group_name_Hall '-P 4 2'
_cell_length_a 2.723
_cell_length_b 2.723
_cell_length_c 8.646
_cell_angle_alpha 90.00
_cell_angle_beta 90.00
_cell_angle_gamma 90.00
loop_
_atom_site_label
_atom_site_fract_x
_atom_site_fract_y
_atom_site_fract_z
Mg1 0.000 0.000 0.245
Mn1 0.500 0.500 0.500
Cr1 0.500 0.500 0.000
```

***

(5)
Below is a relaxed structure of GeSb3Pd, with properties calculated at the PBE-GGA level.

## Properties
Distance to the lowest polymorph of the same formula ... 0.000 eV per atom
Formation energy from raw total energies ... 0.48 eV/atom

Cell and atoms, written as CIF:
```
data_GeSb3Pd
_space_group_name_H-M_alt 'P m -3 m'
_space_group_IT_number 221
_space_group_name_Hall '-P 4 2 3'
_cell_length_a 5.227
_cell_length_b 5.227
_cell_length_c 5.227
_cell_angle_alpha 90.00
_cell_angle_beta 90.00
_cell_angle_gamma 90.00
loop_
_atom_site_label
_atom_site_fract_x
_atom_site_fract_y
_atom_site_fract_z
Ge1 0.000 0.000 0.000
Sb1 0.000 0.500 0.500
Pd1 0.500 0.500 0.500
```

***

(6)
Below is a relaxed structure of RbTl11Au5, with properties calculated at the PBE-GGA level.

## Properties
Formation energy from the elements ... -0.029 eV/atom

Cell and atoms, written as CIF:
```
data_RbTl11Au5
_space_group_name_H-M_alt 'C 1 2/m 1'
_space_group_IT_number 12
_cell_length_a 10.901
_cell_length_b 13.951
_cell_length_c 6.854
_cell_angle_alpha 90.00
_cell_angle_beta 104.00
_cell_angle_gamma 90.00
loop_
_space_group_symop_operation_xyz
'x,y,z'
'-x,-y,-z'
'-x,y,-z'
'x,-y,z'
'x+1/2,y+1/2,z'
'-x+1/2,-y+1/2,-z'
'-x+1/2,y+1/2,-z'
'x+1/2,-y+1/2,z'
loop_
_atom_site_label
_atom_site_fract_x
_atom_site_fract_y
_atom_site_fract_z
Rb1 0.000 0.000 0.000
Tl1 0.000 0.000 0.500
Tl2 0.089 0.239 0.298
Tl3 0.160 0.500 0.416
Tl4 0.174 0.369 0.859
Au1 0.000 0.500 0.000
Au2 0.174 0.154 0.719
```

***

no.,V (Å³ per atom)
1,25.74
2,36.13
3,21.74
4,16.03
5,28.56
6,29.75